Entry 1:
# CeDyGa2Au2, relaxed, DFT GGA-PBE
# DOS(E_F): 6.1 states/eV/cell
# Total DFT energy (no corrections): -27.580 eV per cell
# Calculated formation energy: -0.74 eV/atom
data_CeDyGa2Au2
_chemical_formula_sum 'Ce1 Dy1 Ga2 Au2'
_cell_length_a 4.5507
_cell_length_b 4.5507
_cell_length_c 7.3136
_cell_angle_alpha 90.00
_cell_angle_beta 90.00
_cell_angle_gamma 120.00
_symmetry_space_group_name_H-M 'P -3 m 1'
_symmetry_Int_Tables_number 164
_symmetry_space_group_name_Hall '-P 3 2"'
loop_
_atom_site_label
_atom_site_type_symbol
_atom_site_fract_x
_atom_site_fract_y
_atom_site_fract_z
Ce1 Ce 0.0000 0.0000 0.0000
Dy1 Dy 0.0000 0.0000 0.5000
Ga1 Ga 0.3333 0.6667 0.7462
Au1 Au 0.3333 0.6667 0.2681

***

Entry 2:
# AcY3Er4, relaxed, DFT GGA-PBE
# DOS(E_F): 36.3 states/eV/cell
# Total DFT energy (no corrections): -76.167 eV per cell
# Calculated formation energy: 0.46 eV/atom
# ΔE to the lowest computed polymorph: 2.14 eV per formula unit
data_AcY3Er4
_chemical_formula_sum 'Ac2 Y6 Er8'
_cell_length_a 11.8555
_cell_length_b 13.4123
_cell_length_c 3.4562
_cell_angle_alpha 90.00
_cell_angle_beta 90.00
_cell_angle_gamma 90.00
_symmetry_space_group_name_H-M 'C m m m'
_symmetry_Int_Tables_number 65
_symmetry_space_group_name_Hall '-C 2 2'
loop_
_atom_site_label
_atom_site_type_symbol
_atom_site_fract_x
_atom_site_fract_y
_atom_site_fract_z
Ac1 Ac 0.0000 0.0000 0.0000
Y1 Y 0.0000 0.5000 0.0000
Y2 Y 0.2500 0.2500 0.5000
Er1 Er 0.0000 0.2589 0.0000
Er2 Er 0.2394 0.5000 0.5000

***

Entry 3:
# MnBeTcPd, relaxed, DFT GGA-PBE
# DOS(E_F): 7.7 states/eV/cell
# Total DFT energy (no corrections): -57.183 eV per cell
# Calculated formation energy: -0.03 eV/atom
# ΔE to the lowest computed polymorph: 0.58 eV per formula unit
data_MnBeTcPd
_chemical_formula_sum 'Mn2 Be2 Tc2 Pd2'
_cell_length_a 2.8295
_cell_length_b 4.0882
_cell_length_c 8.6524
_cell_angle_alpha 90.00
_cell_angle_beta 90.00
_cell_angle_gamma 90.00
_symmetry_space_group_name_H-M 'I m m 2'
_symmetry_Int_Tables_number 44
loop_
_symmetry_equiv_pos_as_xyz
'x,y,z'
'-x,-y,z'
'-x,y,z'
'x,-y,z'
'x+1/2,y+1/2,z+1/2'
'-x+1/2,-y+1/2,z+1/2'
'-x+1/2,y+1/2,z+1/2'
'x+1/2,-y+1/2,z+1/2'
loop_
_atom_site_label
_atom_site_type_symbol
_atom_site_fract_x
_atom_site_fract_y
_atom_site_fract_z
Mn1 Mn 0.0000 0.0000 0.0000
Be1 Be 0.0000 0.5000 0.2780
Tc1 Tc 0.0000 0.0000 0.5438
Pd1 Pd 0.0000 0.5000 0.7704

***

Entry 4:
# Ce3HoS6, relaxed, DFT GGA-PBE
# Uncorrected formation energy: -189.0 kJ per mole of atoms
# DOS(E_F): 37.0 states/eV/cell
# Total DFT energy (no corrections): -133.462 eV per cell
data_Ce3HoS6
_chemical_formula_sum 'Ce6 Ho2 S12'
_cell_length_a 6.7987
_cell_length_b 7.4174
_cell_length_c 12.1289
_cell_angle_alpha 90.00
_cell_angle_beta 123.60
_cell_angle_gamma 90.00
_symmetry_space_group_name_H-M 'P 1 21/c 1'
_symmetry_Int_Tables_number 14
loop_
_symmetry_equiv_pos_as_xyz
'x,y,z'
'-x,-y,-z'
'-x,y+1/2,-z+1/2'
'x,-y+1/2,z+1/2'
loop_
_atom_site_label
_atom_site_type_symbol
_atom_site_fract_x
_atom_site_fract_y
_atom_site_fract_z
Ce1 Ce 0.0000 0.0000 0.0000
Ce2 Ce 0.2884 0.0933 0.7501
Ho1 Ho 0.5000 0.0000 0.5000
S1 S 0.1011 0.0641 0.2549
S2 S 0.2598 0.6835 0.0772
S3 S 0.4041 0.1896 0.0785

***

Entry 5:
# Ac3Ho3PuTe8, relaxed, DFT GGA-PBE
# Uncorrected formation energy: -132.5 kJ per mole of atoms
# DOS(E_F): 61.9 states/eV/cell
# Total DFT energy (no corrections): -258.350 eV per cell
data_Ac3Ho3PuTe8
_chemical_formula_sum 'Ac9 Ho9 Pu3 Te24'
_cell_length_a 8.9348
_cell_length_b 8.9348
_cell_length_c 22.6220
_cell_angle_alpha 90.00
_cell_angle_beta 90.00
_cell_angle_gamma 120.00
_symmetry_space_group_name_H-M 'R -3 m'
_symmetry_Int_Tables_number 166
_symmetry_space_group_name_Hall '-R 3 2"'
loop_
_atom_site_label
_atom_site_type_symbol
_atom_site_fract_x
_atom_site_fract_y
_atom_site_fract_z
Ac1 Ac 0.0000 0.5000 0.0000
Ho1 Ho 0.0000 0.5000 0.5000
Pu1 Pu 0.0000 0.0000 0.5000
Te1 Te 0.0000 0.0000 0.2409
Te2 Te 0.0148 0.5074 0.7554

***

Entry 6:
# Sc2AlPd, relaxed, DFT GGA-PBE
# DOS(E_F): 14.4 states/eV/cell
# Total DFT energy (no corrections): -65.233 eV per cell
# Calculated formation energy: -0.04 eV/atom
data_Sc2AlPd
_chemical_formula_sum 'Sc6 Al3 Pd3'
_cell_length_a 3.1192
_cell_length_b 3.1192
_cell_length_c 30.1016
_cell_angle_alpha 90.00
_cell_angle_beta 90.00
_cell_angle_gamma 120.00
_symmetry_space_group_name_H-M 'R -3 m'
_symmetry_Int_Tables_number 166
_symmetry_space_group_name_Hall '-R 3 2"'
loop_
_atom_site_label
_atom_site_type_symbol
_atom_site_fract_x
_atom_site_fract_y
_atom_site_fract_z
Sc1 Sc 0.0000 0.0000 0.0956
Al1 Al 0.0000 0.0000 0.0000
Pd1 Pd 0.0000 0.0000 0.5000